No. 1
VASP calculation (PBEsol) on a geometry-optimized Os2WCl structure.

## Properties
ΔE to the lowest computed polymorph ... 0.201 eV/f.u.
Spin magnetization ... 0.00 μB/f.u.
Density ... 16.451 g cm⁻³
Calculated volume ... 15.13 Å³/atom
Uncorrected formation energy ... 0.737 eV/atom

Cell: 2.7915 2.7915 8.8797 Å, 90.00 90.00 118.97°
Atoms (fractional coordinates):
1 Os 0.0000 0.0000 0.2532
2 W 0.5000 0.5000 0.5000
3 Cl 0.5000 0.5000 0.0000
4 Os 0.0000 0.0000 0.7468



No. 2
VASP calculation (PBEsol) on a geometry-optimized OsW2Cl structure.

## Properties
ΔE to the lowest computed polymorph ... 0.718 eV/f.u.
Spin magnetization ... 0.00 μB/f.u.
Density ... 16.206 g cm⁻³
Calculated volume ... 15.20 Å³/atom
Uncorrected formation energy ... 0.505 eV/atom

Cell: 2.8508 2.8508 7.4813 Å, 90.00 90.00 90.00°
Atoms (fractional coordinates):
1 W 0.0000 0.0000 0.9899
2 Cl 0.0000 0.0000 0.4817
3 Os 0.5000 0.5000 0.7653
4 W 0.5000 0.5000 0.2632



No. 3
VASP calculation (PBEsol) on a geometry-optimized Os2WCl structure.

## Properties
ΔE to the lowest computed polymorph ... 0.000 eV/f.u.
Spin magnetization ... 0.00 μB/f.u.
Density ... 17.383 g cm⁻³
Calculated volume ... 14.32 Å³/atom
Uncorrected formation energy ... 0.687 eV/atom

Cell: 2.8234 4.0484 5.1882 Å, 90.00 104.96 90.00°
Atoms (fractional coordinates):
1 Cl 0.5000 0.5000 0.5000
2 W 0.5000 0.5000 0.0000
3 Os 0.1355 0.0000 0.2611
4 Os 0.8645 0.0000 0.7389



No. 4
VASP calculation (PBEsol) on a geometry-optimized Os2WCl structure.

## Properties
ΔE to the lowest computed polymorph ... 0.257 eV/f.u.
Spin magnetization ... 0.00 μB/f.u.
Density ... 17.680 g cm⁻³
Calculated volume ... 14.08 Å³/atom
Uncorrected formation energy ... 0.751 eV/atom

Cell: 2.8280 4.4737 5.1793 Å, 115.59 105.84 90.00°
Atoms (fractional coordinates):
1 W 0.0000 0.5000 0.0000
2 Os 0.2317 0.2317 0.4635
3 Cl 0.5000 0.0000 0.0000
4 Os 0.7683 0.7683 0.5365



No. 5
VASP calculation (PBEsol) on a geometry-optimized OsW2Cl structure.

## Properties
ΔE to the lowest computed polymorph ... 1.325 eV/f.u.
Spin magnetization ... 0.00 μB/f.u.
Density ... 16.004 g cm⁻³
Calculated volume ... 15.39 Å³/atom
Uncorrected formation energy ... 0.656 eV/atom

Cell: 2.7992 2.7992 8.9393 Å, 90.00 90.00 118.49°
Atoms (fractional coordinates):
1 Cl 0.5000 0.5000 0.5000
2 Os 0.5000 0.5000 0.0000
3 W 0.0000 0.0000 0.7511
4 W 0.0000 0.0000 0.2489



No. 6
VASP calculation (PBEsol) on a geometry-optimized OsW2Cl structure.

## Properties
ΔE to the lowest computed polymorph ... 0.000 eV/f.u.
Spin magnetization ... 0.00 μB/f.u.
Density ... 16.554 g cm⁻³
Calculated volume ... 14.88 Å³/atom
Uncorrected formation energy ... 0.325 eV/atom

Cell: 2.8313 2.8313 8.7282 Å, 80.67 80.67 60.00°
Atoms (fractional coordinates):
1 Os 0.0000 0.0000 0.0000
2 W 0.7509 0.7509 0.7474
3 W 0.2491 0.2491 0.2526
4 Cl 0.5000 0.5000 0.5000



No. 7
VASP calculation (PBEsol) on a geometry-optimized Y3OsCl structure.

## Properties
Spin magnetization ... 0.01 μB/f.u.
Density ... 6.907 g cm⁻³
Calculated volume ... 23.68 Å³/atom
Uncorrected formation energy ... 0.069 eV/atom

Cell: 4.9102 4.9102 4.9102 Å, 90.00 90.00 90.00°
Atoms (fractional coordinates):
1 Y 0.0000 0.5000 0.0000
2 Cl 0.0000 0.0000 0.0000
3 Y 0.5000 0.0000 0.0000
4 Os 0.5000 0.5000 0.5000
5 Y 0.0000 0.0000 0.5000



No. 8
VASP calculation (PBEsol) on a geometry-optimized Zn4OsCl structure.

## Properties
Spin magnetization ... 0.00 μB/f.u.
Density ... 9.256 g cm⁻³
Calculated volume ... 14.57 Å³/atom
Uncorrected formation energy ... 0.494 eV/atom

Cell: 4.9817 4.9817 4.9817 Å, 60.00 60.00 60.00°
Atoms (fractional coordinates):
1 Zn 0.8776 0.3741 0.3741
2 Cl 0.7500 0.7500 0.7500
3 Os 0.0000 0.0000 0.0000
4 Zn 0.3741 0.3741 0.8776
5 Zn 0.3741 0.8776 0.3741
6 Zn 0.3741 0.3741 0.3741



No. 9
VASP calculation (PBEsol) on a geometry-optimized ZnOs2Cl structure.

## Properties
ΔE to the lowest computed polymorph ... 0.000 eV/f.u.
Spin magnetization ... 0.00 μB/f.u.
Density ... 12.833 g cm⁻³
Calculated volume ... 15.57 Å³/atom
Uncorrected formation energy ... 1.113 eV/atom

Cell: 2.7349 3.9063 5.8299 Å, 90.00 90.00 90.00°
Atoms (fractional coordinates):
1 Zn 0.5000 0.5000 0.0000
2 Os 0.0000 0.0000 0.2021
3 Os 0.0000 0.0000 0.7979
4 Cl 0.5000 0.5000 0.5000



No. 10
VASP calculation (PBEsol) on a geometry-optimized Zn2OsCl structure.

## Properties
Spin magnetization ... 0.00 μB/f.u.
Density ... 10.369 g cm⁻³
Calculated volume ... 14.27 Å³/atom
Uncorrected formation energy ... 0.687 eV/atom

Cell: 3.6830 3.6830 4.9494 Å, 111.84 111.84 90.00°
Atoms (fractional coordinates):
1 Os 0.0000 0.0000 0.0000
2 Zn 0.7500 0.2500 0.5000
3 Cl 0.5000 0.5000 0.0000
4 Zn 0.2500 0.7500 0.5000



No. 11
VASP calculation (PBEsol) on a geometry-optimized ZnOsCl structure.

## Properties
Spin magnetization ... 0.00 μB/f.u.
Density ... 11.062 g cm⁻³
Calculated volume ... 14.56 Å³/atom
Uncorrected formation energy ... 0.771 eV/atom

Cell: 2.7953 4.2485 4.2485 Å, 120.00 90.00 90.00°
Atoms (fractional coordinates):
1 Os 0.0000 0.3333 0.6667
2 Cl 0.0000 0.0000 0.0000
3 Zn 0.5000 0.6667 0.3333



No. 12
VASP calculation (PBEsol) on a geometry-optimized ZnOs2Cl structure.

## Properties
ΔE to the lowest computed polymorph ... 0.051 eV/f.u.
Spin magnetization ... 0.00 μB/f.u.
Density ... 14.598 g cm⁻³
Calculated volume ... 13.69 Å³/atom
Uncorrected formation energy ... 1.125 eV/atom

Cell: 2.9346 4.3194 4.3194 Å, 90.01 90.00 90.00°
Atoms (fractional coordinates):
1 Os 0.0000 0.5000 0.0000
2 Os 0.0000 0.0000 0.5000
3 Cl 0.5000 0.5000 0.5000
4 Zn 0.5000 0.0000 0.0000



No. 13
VASP calculation (PBEsol) on a geometry-optimized ZrOsCl2 structure.

## Properties
Spin magnetization ... 0.95 μB/f.u.
Density ... 8.517 g cm⁻³
Calculated volume ... 17.17 Å³/atom
Uncorrected formation energy ... 0.319 eV/atom

Cell: 4.5971 4.5971 4.5971 Å, 60.00 60.00 60.00°
Atoms (fractional coordinates):
1 Zr 0.7500 0.7500 0.7500
2 Os 0.5000 0.5000 0.5000
3 Cl 0.2500 0.2500 0.2500
4 Cl 0.0000 0.0000 0.0000



No. 14
VASP calculation (PBEsol) on a geometry-optimized ZrOsCl structure.

## Properties
ΔE to the lowest computed polymorph ... 1.759 eV/f.u.
Spin magnetization ... 0.00 μB/f.u.
Density ... 8.729 g cm⁻³
Calculated volume ... 20.10 Å³/atom
Uncorrected formation energy ... 0.545 eV/atom

Cell: 4.4013 4.4013 4.4013 Å, 60.00 60.00 60.00°
Atoms (fractional coordinates):
1 Zr 0.2500 0.2500 0.2500
2 Cl 0.0000 0.0000 0.0000
3 Os 0.5000 0.5000 0.5000



No. 15
VASP calculation (PBEsol) on a geometry-optimized ZrOsCl structure.

## Properties
ΔE to the lowest computed polymorph ... 1.337 eV/f.u.
Spin magnetization ... 0.00 μB/f.u.
Density ... 9.064 g cm⁻³
Calculated volume ... 19.35 Å³/atom
Uncorrected formation energy ... 0.404 eV/atom

Cell: 4.3464 4.3464 4.3464 Å, 60.00 60.00 60.00°
Atoms (fractional coordinates):
1 Cl 0.5000 0.5000 0.5000
2 Os 0.2500 0.2500 0.2500
3 Zr 0.0000 0.0000 0.0000



No. 16
VASP calculation (PBEsol) on a geometry-optimized ZrOsCl structure.

## Properties
ΔE to the lowest computed polymorph ... 0.000 eV/f.u.
Spin magnetization ... 0.00 μB/f.u.
Density ... 10.924 g cm⁻³
Calculated volume ... 16.06 Å³/atom
Uncorrected formation energy ... -0.041 eV/atom

Cell: 3.0772 4.2516 4.2516 Å, 120.00 90.00 90.00°
Atoms (fractional coordinates):
1 Os 0.8334 0.3333 0.6667
2 Zr 0.3336 0.6667 0.3333
3 Cl 0.8330 0.0000 0.0000



No. 17
VASP calculation (PBEsol) on a geometry-optimized PCl structure.

## Properties
ΔE to the lowest computed polymorph ... 0.000 eV/f.u.
Spin magnetization ... 0.00 μB/f.u.
Density ... 2.443 g cm⁻³
Calculated volume ... 22.58 Å³/atom
Uncorrected formation energy ... -0.371 eV/atom

Cell: 3.5047 3.6741 7.0145 Å, 89.16 90.00 90.00°
Atoms (fractional coordinates):
1 Cl 0.7500 0.7620 0.8030
2 Cl 0.2500 0.2380 0.1970
3 P 0.2500 0.2049 0.4899
4 P 0.7500 0.7951 0.5101



No. 18
VASP calculation (PBEsol) on a geometry-optimized PCl structure.

## Properties
ΔE to the lowest computed polymorph ... 1.998 eV/f.u.
Spin magnetization ... 0.00 μB/f.u.
Density ... 3.307 g cm⁻³
Calculated volume ... 16.68 Å³/atom
Uncorrected formation energy ... 0.628 eV/atom

Cell: 3.0395 3.0395 8.3365 Å, 90.00 90.00 120.00°
Atoms (fractional coordinates):
1 P 0.3333 0.6667 0.2500
2 Cl 0.0000 0.0000 0.0000
3 P 0.6667 0.3333 0.7500
4 Cl 0.0000 0.0000 0.5000



No. 19
VASP calculation (PBEsol) on a geometry-optimized P2Cl structure.

## Properties
ΔE to the lowest computed polymorph ... 0.028 eV/f.u.
Spin magnetization ... 0.00 μB/f.u.
Density ... 2.733 g cm⁻³
Calculated volume ... 19.73 Å³/atom
Uncorrected formation energy ... 0.474 eV/atom

Cell: 3.8750 3.8750 4.5516 Å, 90.00 90.00 120.00°
Atoms (fractional coordinates):
1 P 0.3333 0.6667 0.5000
2 P 0.6667 0.3333 0.5000
3 Cl 0.0000 0.0000 0.0000



No. 20
VASP calculation (PBEsol) on a geometry-optimized PCl3 structure.

## Properties
Spin magnetization ... 0.00 μB/f.u.
Density ... 2.476 g cm⁻³
Calculated volume ... 23.02 Å³/atom
Uncorrected formation energy ... -0.034 eV/atom

Cell: 3.2059 4.8894 6.5622 Å, 111.87 104.14 90.00°
Atoms (fractional coordinates):
1 Cl 0.3473 0.3473 0.6946
2 Cl 0.6527 0.6527 0.3054
3 Cl 0.5000 0.0000 0.0000
4 P 0.0000 0.5000 0.0000